Entry from Alexandria: crystalline Ba3GaF at its relaxed geometry (PBE-GGA).

Cell and atoms, written as POSCAR:
```
Ba3GaF
1.0
-1.551 -3.904 0.976
7.589 -3.518 -2.017
1.579 1.985 10.452
Ba Ga F
6 2 2
Direct
0.250 0.740 0.000 Ba
0.250 0.934 0.660 Ba
0.250 0.390 0.642 Ba
0.750 0.066 0.340 Ba
0.750 0.260 0.000 Ba
0.750 0.610 0.358 Ba
0.750 0.677 0.757 Ga
0.250 0.323 0.243 Ga
0.750 0.127 0.591 F
0.250 0.873 0.409 F
```

Values from the calculation:
**Space-group type**: P2_1/m, No. 11
**Calculated density**: 4.2 g/cm³
**ΔE_f (raw)**: -1.205 eV/atom